# SrMgF4 | Alexandria via LeMat-Bulk | PBE | optimized geometry
# Calculated density = 3.69 g/cm3
# V = 338.30 Å³ per cell
# ΔE_f (raw) = -22.37 eV per formula unit
# Magnetization = 0.072 μB per formula unit
data_SrMgF4
_cell_length_a 7.6976
_cell_length_b 5.6398
_cell_length_c 7.9288
_cell_angle_alpha 90.00
_cell_angle_beta 100.64
_cell_angle_gamma 90.00
_space_group_name_H-M_alt 'P 1 21/c 1'
_space_group_IT_number 14
_space_group_name_Hall '-P 2ybc'
loop_
_atom_site_label
_atom_site_type_symbol
_atom_site_fract_x
_atom_site_fract_y
_atom_site_fract_z
Sr1 Sr 0.1718 0.2268 0.4042
Mg1 Mg 0.3373 0.7273 0.2014
F1 F 0.1134 0.5192 0.1670
F2 F 0.1693 0.5044 0.6354
F3 F 0.3310 0.6647 0.9472
F4 F 0.4397 0.0922 0.7865